# LiFeF3, relaxed, DFT PBE+U
# Energy above the most stable polymorph in this dataset = 43.2 meV per atom
# Crystal system = triclinic
# Magnetization = 0.800 μB/atom
# Energy = -5.24 eV per atom
# D(E_F) = 0.000 states/eV/f.u.
data_LiFeF3
_chemical_formula_sum 'Li2 Fe2 F6'
_cell_length_a 3.224
_cell_length_b 6.285
_cell_length_c 6.330
_cell_angle_alpha 71.95
_cell_angle_beta 80.04
_cell_angle_gamma 79.30
_space_group_name_H-M_alt 'P 1'
_space_group_IT_number 1
loop_
_space_group_symop_operation_xyz
'x,y,z'
loop_
_atom_site_label
_atom_site_type_symbol
_atom_site_fract_x
_atom_site_fract_y
_atom_site_fract_z
Li1 Li 0.000 0.000 0.000
Li2 Li 0.138 0.585 0.489
Fe1 Fe 0.635 0.086 0.490
Fe2 Fe 0.653 0.568 0.987
F1 F 0.035 0.278 0.545
F2 F 0.050 0.661 0.171
F3 F 0.237 0.892 0.433
F4 F 0.239 0.526 0.793
F5 F 0.572 0.932 0.847
F6 F 0.723 0.226 0.141